Record 1
Material: NaAlCuS3
Method: DFT, GGA-PBE
State: relaxed

Unit cell a=7.3015 b=3.4578 c=9.5963 alpha=90.00 beta=107.48 gamma=90.00
With the nearest neighbours (Å) after each atom.
Sites, in units of the cell vectors:
Na1 0.2492 0.2500 0.2784  6 S 2.86-2.98
Na2 0.7508 0.7500 0.7216  6 S 2.86-2.98
Al1 0.3258 0.7500 0.8867  5 S 2.34-2.43
Al2 0.6742 0.2500 0.1133  5 S 2.34-2.43
Cu1 0.0937 0.2500 0.6030  4 S 2.26-2.35
Cu2 0.9063 0.7500 0.3970  4 S 2.26-2.35
S1 0.0944 0.2500 0.8436  1 Cu 2.31, 2 Al 2.37
S2 0.2366 0.7500 0.5245  3 Cu 2.26-2.35
S3 0.4543 0.7500 0.1409  3 Al 2.34-2.43
S4 0.5457 0.2500 0.8591  3 Al 2.34-2.43
S5 0.7634 0.2500 0.4755  3 Cu 2.26-2.35
S6 0.9056 0.7500 0.1564  1 Cu 2.31, 2 Al 2.37

Calculated values
E_tot ... -51.45 eV per cell


Record 2
Material: LiTbCd2Au4
Method: DFT, GGA-PBE
State: relaxed

Unit cell a=4.8428 b=4.8428 c=6.7451 alpha=90.00 beta=90.00 gamma=90.00
With the nearest neighbours (Å) after each atom.
Sites, in units of the cell vectors:
Li1 0.0000 0.0000 0.0000  8 Au 2.88
Tb1 0.5000 0.5000 0.5000  8 Au 3.02, 2 Cd 3.37
Cd1 0.0000 0.0000 0.5000  8 Au 3.02, 2 Li 3.37
Cd2 0.5000 0.5000 0.0000  8 Au 2.88
Au1 0.0000 0.5000 0.2315  4 Cd 2.88-3.02, 2 Li 2.88, 2 Tb 3.02, 1 Au 3.12
Au2 0.0000 0.5000 0.7685  4 Cd 2.88-3.02, 2 Li 2.88, 2 Tb 3.02, 1 Au 3.12
Au3 0.5000 0.0000 0.2315  4 Cd 2.88-3.02, 2 Li 2.88, 2 Tb 3.02, 1 Au 3.12
Au4 0.5000 0.0000 0.7685  4 Cd 2.88-3.02, 2 Li 2.88, 2 Tb 3.02, 1 Au 3.12

Calculated values
Size of the total moment ... 0.004 μB per formula unit
E_tot ... -25.54 eV per cell


Record 3
Material: Cs2DyPbCl6
Method: DFT, GGA-PBE
State: relaxed

Unit cell a=8.2553 b=8.2553 c=8.2553 alpha=125.74 beta=125.74 gamma=80.31
With the nearest neighbours (Å) after each atom.
Sites, in units of the cell vectors:
Cs1 0.2500 0.7500 0.5000  8 Cl 3.65-3.80
Cs2 0.7500 0.2500 0.5000  8 Cl 3.65-3.80
Dy1 0.0000 0.0000 0.0000  6 Cl 2.63-2.65
Pb1 0.5000 0.5000 0.0000  4 Cl 2.93
Cl1 0.1590 0.6865 0.8455  1 Dy 2.65, 1 Pb 2.93
Cl2 0.2083 0.2083 0.0000  1 Dy 2.63
Cl3 0.3135 0.1590 0.4725  1 Dy 2.65, 1 Pb 2.93
Cl4 0.6865 0.8410 0.5275  1 Dy 2.65, 1 Pb 2.93
Cl5 0.7917 0.7917 0.0000  1 Dy 2.63
Cl6 0.8410 0.3135 0.1545  1 Dy 2.65, 1 Pb 2.93

Calculated values
Size of the total moment ... 1.001 μB per formula unit
Polymorph energy (0 for the lowest one) ... 0 meV/atom
E_tot ... -39.18 eV per cell


Record 4
Material: HoAl2Hg
Method: DFT, GGA-PBE
State: relaxed

Unit cell a=4.7058 b=6.4596 c=6.4596 alpha=58.24 beta=90.00 gamma=90.00
With the nearest neighbours (Å) after each atom.
Sites, in units of the cell vectors:
Ho1 0.0000 0.0000 0.0000  8 Al 3.12-3.16, 4 Hg 3.23
Ho2 0.5000 0.3508 0.3508  4 Hg 3.05, 8 Al 3.07-3.35
Al1 0.0000 0.5254 0.5254  4 Al 2.86, 2 Hg 2.98, 4 Ho 3.07-3.16
Al2 0.5000 0.3726 0.8209  4 Al 2.82-2.86, 2 Hg 2.92, 3 Ho 3.11-3.12
Al3 0.5000 0.8138 0.8138  2 Al 2.83, 4 Hg 2.92, 2 Ho 3.15
Al4 0.5000 0.8209 0.3726  4 Al 2.82-2.86, 2 Hg 2.92, 3 Ho 3.11-3.12
Hg1 0.0000 0.5008 0.9992  5 Al 2.92-2.98, 4 Ho 3.05-3.23, 2 Hg 3.13-3.15
Hg2 0.0000 0.9992 0.5008  5 Al 2.92-2.98, 4 Ho 3.05-3.23, 2 Hg 3.13-3.15

Calculated values
Size of the total moment ... 0.000 μB per formula unit
Polymorph energy (0 for the lowest one) ... 0 meV/atom
E_tot ... -27.39 eV per cell